# AcDyInBi, optimized geometry, DFT GGA-PBE
# **Formation enthalpy at 0 K**: -0.45 eV/atom
data_AcDyInBi
_cell_length_a 5.663
_cell_length_b 5.663
_cell_length_c 5.663
_cell_angle_alpha 60.00
_cell_angle_beta 60.00
_cell_angle_gamma 60.00
_space_group_name_H-M_alt 'P 1'
_space_group_IT_number 1
loop_
_space_group_symop_operation_xyz
'x,y,z'
loop_
_atom_site_label
_atom_site_type_symbol
_atom_site_fract_x
_atom_site_fract_y
_atom_site_fract_z
Dy1 Dy 0.500 0.500 0.500
In1 In 0.250 0.250 0.250
Bi1 Bi 0.750 0.750 0.750
Ac1 Ac 0.000 0.000 0.000

# Ga4NiRh, optimized geometry, DFT GGA-PBE
# **Formation enthalpy at 0 K**: -0.38 eV/atom
data_Ga4NiRh
_cell_length_a 5.860
_cell_length_b 5.797
_cell_length_c 7.101
_cell_angle_alpha 113.97
_cell_angle_beta 114.25
_cell_angle_gamma 90.26
_space_group_name_H-M_alt 'P 1'
_space_group_IT_number 1
loop_
_space_group_symop_operation_xyz
'x,y,z'
loop_
_atom_site_label
_atom_site_type_symbol
_atom_site_fract_x
_atom_site_fract_y
_atom_site_fract_z
Ga1 Ga 0.763 0.499 0.498
Ga2 Ga 0.999 0.242 0.998
Ni1 Ni 0.873 0.123 0.245
Ga3 Ga 0.501 0.244 0.002
Ga4 Ga 0.235 0.999 0.498
Rh1 Rh 0.378 0.628 0.256
Ni2 Ni 0.127 0.877 0.755
Ga5 Ga 0.765 0.001 0.502
Ga6 Ga 0.499 0.756 0.998
Ga7 Ga 0.237 0.501 0.502
Rh2 Rh 0.622 0.372 0.744
Ga8 Ga 0.001 0.758 0.002

# YPuC2, optimized geometry, DFT GGA-PBE
# **ΔE to the lowest computed polymorph**: 0.000 eV/atom
# **Formation enthalpy at 0 K**: -0.04 eV/atom
data_YPuC2
_cell_length_a 3.570
_cell_length_b 3.570
_cell_length_c 6.069
_cell_angle_alpha 72.89
_cell_angle_beta 72.89
_cell_angle_gamma 60.00
_space_group_name_H-M_alt 'P 1'
_space_group_IT_number 1
loop_
_space_group_symop_operation_xyz
'x,y,z'
loop_
_atom_site_label
_atom_site_type_symbol
_atom_site_fract_x
_atom_site_fract_y
_atom_site_fract_z
C1 C 0.261 0.261 0.216
Y1 Y 0.500 0.500 0.500
Pu1 Pu 0.000 0.000 0.000
C2 C 0.739 0.739 0.784

# Tl2SnAuI6, optimized geometry, DFT GGA-PBE
# **E_form (uncorrected)**: -0.39 eV/atom
data_Tl2SnAuI6
_cell_length_a 8.270
_cell_length_b 8.276
_cell_length_c 8.455
_cell_angle_alpha 60.66
_cell_angle_beta 60.72
_cell_angle_gamma 60.02
_space_group_name_H-M_alt 'P 1'
_space_group_IT_number 1
loop_
_space_group_symop_operation_xyz
'x,y,z'
loop_
_atom_site_label
_atom_site_type_symbol
_atom_site_fract_x
_atom_site_fract_y
_atom_site_fract_z
I1 I 0.504 0.653 0.767
I2 I 0.075 0.504 0.767
Au1 Au 0.823 0.823 0.530
Tl1 Tl 0.532 0.531 0.405
Sn1 Sn 0.323 0.324 0.030
I3 I 0.652 0.075 0.768
I4 I 0.140 0.999 0.280
I5 I 0.000 0.580 0.280
I6 I 0.581 0.141 0.280
Tl2 Tl 0.030 0.031 0.909

| no. | density of states at the Fermi level (states/eV/f.u.) | final energy (Ry per atom) |
| --- | --- | --- |
| 1 | 4.26 | -0.3146 |
| 2 | 3.22 | -0.3372 |
| 3 | 8.43 | -0.7241 |
| 4 | 2.39 | -0.1852 |